1.
Computed, not measured: an optimized crystal structure of ReSiNO at the PBE level of DFT.

Output
Volume (Å³ per atom): 13.36
Space-group type: No. 129
Relative energy among the computed polymorphs (eV per atom): 0.891
Total magnetic moment (μB/atom): 0.021

Cell lengths 3.6833, 3.6833, 7.8772 Å; angles 90.00, 90.00, 90.00 degrees
Element x y z (fractional)
Re: 0.2500 0.7500 0.0000
Re: 0.7500 0.2500 0.0000
Si: 0.2500 0.2500 0.3857
Si: 0.7500 0.7500 0.6143
N: 0.2500 0.2500 0.8860
N: 0.7500 0.7500 0.1140
O: 0.2500 0.7500 0.5000
O: 0.7500 0.2500 0.5000

2.
Computed, not measured: an optimized crystal structure of ReSiNO at the PBE level of DFT.

Output
Volume (Å³ per atom): 12.33
Space-group type: No. 29
Relative energy among the computed polymorphs (eV per atom): 0.040
Total magnetic moment (μB/atom): 0.001

Cell lengths 5.3638, 7.4071, 4.9660 Å; angles 90.00, 90.00, 90.00 degrees
Element x y z (fractional)
Re: 0.1091 0.0302 0.0000
Re: 0.3909 0.0302 0.5000
Re: 0.6091 0.9698 0.0000
Re: 0.8909 0.9698 0.5000
Si: 0.1567 0.7116 0.0374
Si: 0.3434 0.7116 0.5374
Si: 0.6566 0.2884 0.0374
Si: 0.8434 0.2884 0.5374
N: 0.1139 0.1920 0.6611
N: 0.3861 0.1920 0.1611
N: 0.6139 0.8080 0.6611
N: 0.8861 0.8080 0.1611
O: 0.1824 0.5931 0.7598
O: 0.3176 0.5931 0.2598
O: 0.6824 0.4069 0.7598
O: 0.8176 0.4069 0.2598

3.
Computed, not measured: an optimized crystal structure of ReSiNO at the PBE level of DFT.

Output
Volume (Å³ per atom): 11.10
Space-group type: No. 129
Relative energy among the computed polymorphs (eV per atom): 1.162
Total magnetic moment (μB/atom): 0.000

Cell lengths 3.6137, 3.6137, 6.7976 Å; angles 90.00, 90.00, 90.00 degrees
Element x y z (fractional)
Re: 0.2500 0.2500 0.1784
Re: 0.7500 0.7500 0.8216
Si: 0.2500 0.7500 0.5000
Si: 0.7500 0.2500 0.5000
N: 0.2500 0.2500 0.4798
N: 0.7500 0.7500 0.5202
O: 0.2500 0.7500 0.0000
O: 0.7500 0.2500 0.0000

4.
Computed, not measured: an optimized crystal structure of SmReNO at the PBE level of DFT.

Output
Volume (Å³ per atom): 14.88
Space-group type: No. 26
Relative energy among the computed polymorphs (eV per atom): 0.632
Total magnetic moment (μB/atom): 0.000

Cell lengths 3.2778, 5.7529, 6.3129 Å; angles 90.00, 90.00, 90.00 degrees
Element x y z (fractional)
Sm: 0.0000 0.1882 0.0000
Sm: 0.0000 0.8118 0.5000
Re: 0.5000 0.3284 0.4647
Re: 0.5000 0.6716 0.9647
N: 0.5000 0.4389 0.1918
N: 0.5000 0.5611 0.6918
O: 0.0000 0.1709 0.6434
O: 0.0000 0.8291 0.1434

5.
Computed, not measured: an optimized crystal structure of SmReNO at the PBE level of DFT.

Output
Volume (Å³ per atom): 14.55
Space-group type: No. 129
Relative energy among the computed polymorphs (eV per atom): 0.297
Total magnetic moment (μB/atom): 0.011

Cell lengths 3.8194, 3.8194, 7.9804 Å; angles 90.00, 90.00, 90.00 degrees
Element x y z (fractional)
Sm: 0.2500 0.2500 0.1519
Sm: 0.7500 0.7500 0.8481
Re: 0.2500 0.7500 0.5000
Re: 0.7500 0.2500 0.5000
N: 0.2500 0.2500 0.6214
N: 0.7500 0.7500 0.3786
O: 0.2500 0.7500 0.0000
O: 0.7500 0.2500 0.0000

6.
Computed, not measured: an optimized crystal structure of SmReNO at the PBE level of DFT.

Output
Volume (Å³ per atom): 14.61
Space-group type: No. 29
Relative energy among the computed polymorphs (eV per atom): 0.000
Total magnetic moment (μB/atom): 0.001

Cell lengths 5.5177, 8.2371, 5.1432 Å; angles 90.00, 90.00, 90.00 degrees
Element x y z (fractional)
Sm: 0.0137 0.1493 0.0000
Sm: 0.4863 0.1493 0.5000
Sm: 0.5137 0.8507 0.0000
Sm: 0.9863 0.8507 0.5000
Re: 0.1239 0.4865 0.7143
Re: 0.3761 0.4865 0.2143
Re: 0.6239 0.5135 0.7143
Re: 0.8761 0.5135 0.2143
N: 0.0984 0.3514 0.3863
N: 0.4016 0.3514 0.8863
N: 0.5984 0.6486 0.3863
N: 0.9016 0.6486 0.8863
O: 0.2493 0.9883 0.2466
O: 0.2507 0.9883 0.7466
O: 0.7493 0.0117 0.2466
O: 0.7507 0.0117 0.7466